TlFeSF2 | GGA+U | relaxed

- Energy: -4.54 eV per atom

```
data_TlFeSF2
_symmetry_space_group_name_H-M 'P 4/m m m'
_symmetry_Int_Tables_number 123
_symmetry_space_group_name_Hall '-P 4 2'
_cell_length_a 4.173
_cell_length_b 4.173
_cell_length_c 4.913
_cell_angle_alpha 90.00
_cell_angle_beta 90.00
_cell_angle_gamma 90.00
loop_
_atom_site_label
_atom_site_type_symbol
_atom_site_fract_x
_atom_site_fract_y
_atom_site_fract_z
Tl1 Tl 0.000 0.000 0.000
Fe1 Fe 0.500 0.500 0.500
S1 S 0.500 0.500 0.000
F1 F 0.000 0.500 0.500
```